w | {"formula": "SrLiAs2Se", "functional": "GGA-PBE", "state": "optimized geometry", "lattice": [[-1.289, 3.706, -2.110], [1.841, -2.516, -5.545], [-4.065, -1.734, -0.563]], "species": ["Sr", "As", "As", "Se", "Li"], "frac_coords": [[0.000, 0.500, 0.000], [0.000, 0.000, 0.500], [0.500, 0.000, 0.000], [0.500, 0.500, 0.500], [0.000, 0.000, 0.000]], "spacegroup": "No. 123", "dos_at_fermi_per_ev_atom": 0.77, "m_tot_mub_per_atom": 0.000}

x | {"formula": "SrLiAs2Se", "functional": "GGA-PBE", "state": "optimized geometry", "lattice": [[-5.223, 0.306, -2.347], [-0.251, -5.725, -0.187], [-2.360, -0.067, 5.243]], "species": ["Sr", "As", "As", "Se", "Li"], "frac_coords": [[0.000, 0.000, 0.000], [0.000, 0.500, 0.000], [0.500, 0.000, 0.000], [0.000, 0.000, 0.500], [0.500, 0.500, 0.500]], "spacegroup": "No. 123", "dos_at_fermi_per_ev_atom": 1.03, "m_tot_mub_per_atom": 0.159}

y | {"formula": "SrLiAs2Se", "functional": "GGA-PBE", "state": "optimized geometry", "lattice": [[-4.522, -0.716, -0.925], [0.993, -0.398, -4.547], [0.692, -5.146, 0.602]], "species": ["Sr", "As", "As", "Se", "Li"], "frac_coords": [[0.500, 0.500, 0.500], [0.000, 0.500, 0.000], [0.500, 0.000, 0.000], [0.000, 0.000, 0.500], [0.000, 0.000, 0.000]], "spacegroup": "No. 123", "dos_at_fermi_per_ev_atom": 0.79, "m_tot_mub_per_atom": 0.000}

List of relative energies, unit meV/atom: w 145; x 784; y 0

w | {"formula": "LiTaAs2Se", "functional": "GGA-PBE", "state": "optimized geometry", "lattice": [[4.390, 0.000, 0.000], [0.000, 4.390, 0.000], [0.000, 0.000, 4.724]], "species": ["As", "As", "Li", "Se", "Ta"], "frac_coords": [[0.000, 0.500, 0.000], [0.500, 0.000, 0.000], [0.000, 0.000, 0.000], [0.000, 0.000, 0.500], [0.500, 0.500, 0.500]], "spacegroup": "No. 123", "dos_at_fermi_per_ev_atom": 0.80, "m_tot_mub_per_atom": 0.007}

x | {"formula": "LiTaAs2Se", "functional": "GGA-PBE", "state": "optimized geometry", "lattice": [[5.043, 0.000, 0.000], [0.000, 5.043, 0.000], [0.000, 0.000, 5.043]], "species": ["As", "As", "Li", "Se", "Ta"], "frac_coords": [[0.000, 0.500, 0.000], [0.500, 0.000, 0.000], [0.500, 0.500, 0.500], [0.000, 0.000, 0.500], [0.000, 0.000, 0.000]], "spacegroup": "No. 123", "dos_at_fermi_per_ev_atom": 0.77, "m_tot_mub_per_atom": 0.000}

List of relative energies, unit meV/atom: w 803; x 0